No. 1
# PBE-GGA PuSbTe4, relaxed
data_PuSbTe4
_space_group_name_H-M_alt 'P 1 2/m 1'
_space_group_IT_number 10
_space_group_name_Hall '-P 2y'
_cell_length_a 6.774
_cell_length_b 4.273
_cell_length_c 7.531
_cell_angle_alpha 90.00
_cell_angle_beta 91.89
_cell_angle_gamma 90.00
loop_
_atom_site_label
_atom_site_type_symbol
_atom_site_fract_x
_atom_site_fract_y
_atom_site_fract_z
Pu1 Pu 0.000 0.000 0.000
Sb1 Sb 0.000 0.500 0.500
Te1 Te 0.260 0.000 0.332
Te2 Te 0.262 0.500 0.844
# Energy ... -5.506 eV per atom

No. 2
# PBE-GGA PuSbTe, relaxed
data_PuSbTe
_space_group_name_H-M_alt 'P 3 m 1'
_space_group_IT_number 156
_space_group_name_Hall 'P 3 -2"'
_cell_length_a 5.1506
_cell_length_b 5.1506
_cell_length_c 3.8416
_cell_angle_alpha 90.00
_cell_angle_beta 90.00
_cell_angle_gamma 120.00
loop_
_atom_site_label
_atom_site_type_symbol
_atom_site_fract_x
_atom_site_fract_y
_atom_site_fract_z
Pu1 Pu 0.0000 0.0000 0.0000
Sb1 Sb 0.3333 0.6667 0.5017
Te1 Te 0.6667 0.3333 0.0036
# Energy ... -7.468 eV per atom

No. 3
# PBE-GGA Pu3SbTe6, relaxed
data_Pu3SbTe6
_space_group_name_H-M_alt 'C m c 21'
_space_group_IT_number 36
_space_group_name_Hall 'C 2c -2'
_cell_length_a 11.993
_cell_length_b 15.034
_cell_length_c 7.588
_cell_angle_alpha 90.00
_cell_angle_beta 90.00
_cell_angle_gamma 90.00
loop_
_atom_site_label
_atom_site_type_symbol
_atom_site_fract_x
_atom_site_fract_y
_atom_site_fract_z
Pu1 Pu 0.000 0.095 0.000
Pu2 Pu 0.178 0.401 0.105
Sb1 Sb 0.000 0.323 0.628
Te1 Te 0.000 0.264 0.253
Te2 Te 0.000 0.498 0.869
Te3 Te 0.166 0.035 0.300
Te4 Te 0.174 0.234 0.828
# Energy ... -7.288 eV per atom

No. 4
# PBE-GGA PuSbTe, relaxed
data_PuSbTe
_space_group_name_H-M_alt 'P 4/n m m'
_space_group_IT_number 129
_cell_length_a 4.334
_cell_length_b 4.334
_cell_length_c 8.963
_cell_angle_alpha 90.00
_cell_angle_beta 90.00
_cell_angle_gamma 90.00
loop_
_space_group_symop_operation_xyz
'x,y,z'
'-x,-y,-z'
'-y+1/2,x,z'
'y+1/2,-x,-z'
'-x+1/2,-y+1/2,z'
'x+1/2,y+1/2,-z'
'y,-x+1/2,z'
'-y,x+1/2,-z'
'x+1/2,-y,-z'
'-x+1/2,y,z'
'-y,-x,-z'
'y,x,z'
'-x,y+1/2,-z'
'x,-y+1/2,z'
'y+1/2,x+1/2,-z'
'-y+1/2,-x+1/2,z'
loop_
_atom_site_label
_atom_site_type_symbol
_atom_site_fract_x
_atom_site_fract_y
_atom_site_fract_z
Pu1 Pu 0.250 0.250 0.222
Sb1 Sb 0.250 0.750 0.500
Te1 Te 0.250 0.250 0.862
# Energy ... -8.026 eV per atom

No. 5
# PBE-GGA Pu5Sb2Te2, relaxed
data_Pu5Sb2Te2
_space_group_name_H-M_alt 'C m c e'
_space_group_IT_number 64
_space_group_name_Hall '-C 2ac 2'
_cell_length_a 15.749
_cell_length_b 8.212
_cell_length_c 8.232
_cell_angle_alpha 90.00
_cell_angle_beta 90.00
_cell_angle_gamma 90.00
loop_
_atom_site_label
_atom_site_type_symbol
_atom_site_fract_x
_atom_site_fract_y
_atom_site_fract_z
Pu1 Pu 0.000 0.000 0.000
Pu2 Pu 0.135 0.156 0.346
Sb1 Sb 0.000 0.146 0.646
Te1 Te 0.200 0.000 0.000
# Energy ... -10.341 eV per atom

No. 6
# PBE-GGA Pu6Sb5Te, relaxed
data_Pu6Sb5Te
_space_group_name_H-M_alt 'C 1 2/m 1'
_space_group_IT_number 12
_space_group_name_Hall '-C 2y'
_cell_length_a 7.674
_cell_length_b 13.293
_cell_length_c 7.674
_cell_angle_alpha 90.00
_cell_angle_beta 109.47
_cell_angle_gamma 90.00
loop_
_atom_site_label
_atom_site_type_symbol
_atom_site_fract_x
_atom_site_fract_y
_atom_site_fract_z
Pu1 Pu 0.248 0.000 0.250
Pu2 Pu 0.248 0.168 0.748
Sb1 Sb 0.000 0.000 0.500
Sb2 Sb 0.000 0.167 0.000
Sb3 Sb 0.000 0.335 0.500
Te1 Te 0.000 0.500 0.000
# Energy ... -9.833 eV per atom

No. 7
# PBE-GGA Pu4SbTe3, relaxed
data_Pu4SbTe3
_space_group_name_H-M_alt 'P 1 2/c 1'
_space_group_IT_number 13
_space_group_name_Hall '-P 2yc'
_cell_length_a 7.665
_cell_length_b 8.915
_cell_length_c 7.668
_cell_angle_alpha 90.00
_cell_angle_beta 109.64
_cell_angle_gamma 90.00
loop_
_atom_site_label
_atom_site_type_symbol
_atom_site_fract_x
_atom_site_fract_y
_atom_site_fract_z
Pu1 Pu 0.248 0.122 0.000
Pu2 Pu 0.248 0.375 0.498
Sb1 Sb 0.000 0.126 0.250
Te1 Te 0.000 0.375 0.750
Te2 Te 0.500 0.126 0.750
Te3 Te 0.500 0.376 0.250
# E above lowest polymorph ... 0 meV per atom

No. 8
# PBE-GGA PuSbTe, relaxed
data_PuSbTe
_space_group_name_H-M_alt 'C 1 2/m 1'
_space_group_IT_number 12
_space_group_name_Hall '-C 2y'
_cell_length_a 6.202
_cell_length_b 6.188
_cell_length_c 10.190
_cell_angle_alpha 90.00
_cell_angle_beta 107.67
_cell_angle_gamma 90.00
loop_
_atom_site_label
_atom_site_type_symbol
_atom_site_fract_x
_atom_site_fract_y
_atom_site_fract_z
Pu1 Pu 0.154 0.000 0.307
Sb1 Sb 0.231 0.000 0.999
Te1 Te 0.182 0.500 0.363
# Energy ... -7.866 eV per atom

No. 9
# PBE-GGA Pu4Sb3Te, relaxed
data_Pu4Sb3Te
_space_group_name_H-M_alt 'P 1 2/c 1'
_space_group_IT_number 13
_space_group_name_Hall '-P 2yc'
_cell_length_a 7.670
_cell_length_b 8.896
_cell_length_c 7.663
_cell_angle_alpha 90.00
_cell_angle_beta 109.66
_cell_angle_gamma 90.00
loop_
_atom_site_label
_atom_site_type_symbol
_atom_site_fract_x
_atom_site_fract_y
_atom_site_fract_z
Pu1 Pu 0.248 0.123 0.499
Pu2 Pu 0.249 0.375 0.000
Sb1 Sb 0.000 0.126 0.750
Sb2 Sb 0.000 0.376 0.250
Sb3 Sb 0.500 0.125 0.250
Te1 Te 0.500 0.376 0.750
# Energy ... -9.814 eV per atom

No. 10
# PBE-GGA Pu2SbTe3, relaxed
data_Pu2SbTe3
_space_group_name_H-M_alt 'P -4 m 2'
_space_group_IT_number 115
_space_group_name_Hall 'P -4 -2'
_cell_length_a 4.375
_cell_length_b 4.375
_cell_length_c 9.017
_cell_angle_alpha 90.00
_cell_angle_beta 90.00
_cell_angle_gamma 90.00
loop_
_atom_site_label
_atom_site_type_symbol
_atom_site_fract_x
_atom_site_fract_y
_atom_site_fract_z
Pu1 Pu 0.000 0.500 0.223
Sb1 Sb 0.000 0.000 0.500
Te1 Te 0.000 0.500 0.864
Te2 Te 0.500 0.500 0.500
# Energy ... -7.908 eV per atom

No. 11
# PBE-GGA PuThSbTe, relaxed
data_PuThSbTe
_space_group_name_H-M_alt 'F -4 3 m'
_space_group_IT_number 216
_space_group_name_Hall 'F -4 2 3'
_cell_length_a 7.670
_cell_length_b 7.670
_cell_length_c 7.670
_cell_angle_alpha 90.00
_cell_angle_beta 90.00
_cell_angle_gamma 90.00
loop_
_atom_site_label
_atom_site_type_symbol
_atom_site_fract_x
_atom_site_fract_y
_atom_site_fract_z
Pu1 Pu 0.000 0.000 0.000
Th1 Th 0.000 0.000 0.500
Sb1 Sb 0.250 0.250 0.750
Te1 Te 0.250 0.250 0.250
# Energy ... -8.113 eV per atom

No. 12
# PBE-GGA Pu2ThSb2Te2, relaxed
data_Pu2ThSb2Te2
_space_group_name_H-M_alt 'I 4/m m m'
_space_group_IT_number 139
_space_group_name_Hall '-I 4 2'
_cell_length_a 5.993
_cell_length_b 5.993
_cell_length_c 15.206
_cell_angle_alpha 90.00
_cell_angle_beta 90.00
_cell_angle_gamma 90.00
loop_
_atom_site_label
_atom_site_type_symbol
_atom_site_fract_x
_atom_site_fract_y
_atom_site_fract_z
Pu1 Pu 0.000 0.000 0.104
Th1 Th 0.000 0.000 0.500
Sb1 Sb 0.000 0.500 0.000
Te1 Te 0.000 0.000 0.299
# Energy ... -7.675 eV per atom

No. 13
# PBE-GGA TmPuSbTe, relaxed
data_TmPuSbTe
_space_group_name_H-M_alt 'R 3 m'
_space_group_IT_number 160
_space_group_name_Hall 'R 3 -2"'
_cell_length_a 4.3897
_cell_length_b 4.3897
_cell_length_c 21.4834
_cell_angle_alpha 90.00
_cell_angle_beta 90.00
_cell_angle_gamma 120.00
loop_
_atom_site_label
_atom_site_type_symbol
_atom_site_fract_x
_atom_site_fract_y
_atom_site_fract_z
Tm1 Tm 0.0000 0.0000 0.0000
Pu1 Pu 0.0000 0.0000 0.5045
Sb1 Sb 0.0000 0.0000 0.2555
Te1 Te 0.0000 0.0000 0.7501
# Energy ... -7.560 eV per atom

No. 14
# PBE-GGA PuZrSbTe, relaxed
data_PuZrSbTe
_space_group_name_H-M_alt 'F -4 3 m'
_space_group_IT_number 216
_space_group_name_Hall 'F -4 2 3'
_cell_length_a 7.366
_cell_length_b 7.366
_cell_length_c 7.366
_cell_angle_alpha 90.00
_cell_angle_beta 90.00
_cell_angle_gamma 90.00
loop_
_atom_site_label
_atom_site_type_symbol
_atom_site_fract_x
_atom_site_fract_y
_atom_site_fract_z
Pu1 Pu 0.000 0.000 0.000
Zr1 Zr 0.000 0.000 0.500
Sb1 Sb 0.250 0.250 0.250
Te1 Te 0.250 0.250 0.750
# Energy ... -8.169 eV per atom

No. 15
# PBE-GGA PuThSb, relaxed
data_PuThSb
_space_group_name_H-M_alt 'P 4/n m m'
_space_group_IT_number 129
_cell_length_a 4.409
_cell_length_b 4.409
_cell_length_c 8.941
_cell_angle_alpha 90.00
_cell_angle_beta 90.00
_cell_angle_gamma 90.00
loop_
_space_group_symop_operation_xyz
'x,y,z'
'-x,-y,-z'
'-y+1/2,x,z'
'y+1/2,-x,-z'
'-x+1/2,-y+1/2,z'
'x+1/2,y+1/2,-z'
'y,-x+1/2,z'
'-y,x+1/2,-z'
'x+1/2,-y,-z'
'-x+1/2,y,z'
'-y,-x,-z'
'y,x,z'
'-x,y+1/2,-z'
'x,-y+1/2,z'
'y+1/2,x+1/2,-z'
'-y+1/2,-x+1/2,z'
loop_
_atom_site_label
_atom_site_type_symbol
_atom_site_fract_x
_atom_site_fract_y
_atom_site_fract_z
Pu1 Pu 0.250 0.750 0.000
Th1 Th 0.250 0.250 0.360
Sb1 Sb 0.250 0.250 0.727
# Energy ... -9.178 eV per atom

No. 16
# PBE-GGA PuThSb2, relaxed
data_PuThSb2
_space_group_name_H-M_alt 'F m -3 m'
_space_group_IT_number 225
_space_group_name_Hall '-F 4 2 3'
_cell_length_a 7.661
_cell_length_b 7.661
_cell_length_c 7.661
_cell_angle_alpha 90.00
_cell_angle_beta 90.00
_cell_angle_gamma 90.00
loop_
_atom_site_label
_atom_site_type_symbol
_atom_site_fract_x
_atom_site_fract_y
_atom_site_fract_z
Pu1 Pu 0.000 0.000 0.000
Th1 Th 0.000 0.000 0.500
Sb1 Sb 0.250 0.250 0.250
# E above lowest polymorph ... 128 meV per atom

No. 17
# PBE-GGA Pu2ThSb3, relaxed
data_Pu2ThSb3
_space_group_name_H-M_alt 'P -4 m 2'
_space_group_IT_number 115
_space_group_name_Hall 'P -4 -2'
_cell_length_a 4.511
_cell_length_b 4.511
_cell_length_c 8.561
_cell_angle_alpha 90.00
_cell_angle_beta 90.00
_cell_angle_gamma 90.00
loop_
_atom_site_label
_atom_site_type_symbol
_atom_site_fract_x
_atom_site_fract_y
_atom_site_fract_z
Pu1 Pu 0.000 0.500 0.180
Th1 Th 0.000 0.000 0.500
Sb1 Sb 0.000 0.500 0.815
Sb2 Sb 0.500 0.500 0.500
# E above lowest polymorph ... 127 meV per atom

No. 18
# PBE-GGA Pu2ThSb, relaxed
data_Pu2ThSb
_space_group_name_H-M_alt 'F m -3 m'
_space_group_IT_number 225
_space_group_name_Hall '-F 4 2 3'
_cell_length_a 7.530
_cell_length_b 7.530
_cell_length_c 7.530
_cell_angle_alpha 90.00
_cell_angle_beta 90.00
_cell_angle_gamma 90.00
loop_
_atom_site_label
_atom_site_type_symbol
_atom_site_fract_x
_atom_site_fract_y
_atom_site_fract_z
Pu1 Pu 0.250 0.250 0.250
Th1 Th 0.000 0.000 0.000
Sb1 Sb 0.000 0.000 0.500
# E above lowest polymorph ... 288 meV per atom

No. 19
# PBE-GGA Pu2ThSb2, relaxed
data_Pu2ThSb2
_space_group_name_H-M_alt 'P 63/m m c'
_space_group_IT_number 194
_space_group_name_Hall '-P 6c 2c'
_cell_length_a 4.2659
_cell_length_b 4.2659
_cell_length_c 16.0810
_cell_angle_alpha 90.00
_cell_angle_beta 90.00
_cell_angle_gamma 120.00
loop_
_atom_site_label
_atom_site_type_symbol
_atom_site_fract_x
_atom_site_fract_y
_atom_site_fract_z
Pu1 Pu 0.3333 0.6667 0.0030
Th1 Th 0.3333 0.6667 0.7500
Sb1 Sb 0.0000 0.0000 0.1227
# Energy ... -9.102 eV per atom

No. 20
# PBE-GGA PuTh5Sb6, relaxed
data_PuTh5Sb6
_space_group_name_H-M_alt 'C 1 2/m 1'
_space_group_IT_number 12
_space_group_name_Hall '-C 2y'
_cell_length_a 7.787
_cell_length_b 13.476
_cell_length_c 7.803
_cell_angle_alpha 90.00
_cell_angle_beta 109.43
_cell_angle_gamma 90.00
loop_
_atom_site_label
_atom_site_type_symbol
_atom_site_fract_x
_atom_site_fract_y
_atom_site_fract_z
Pu1 Pu 0.000 0.000 0.000
Th1 Th 0.000 0.168 0.500
Th2 Th 0.000 0.334 0.000
Th3 Th 0.000 0.500 0.500
Sb1 Sb 0.247 0.000 0.751
Sb2 Sb 0.248 0.165 0.248
# Energy ... -7.226 eV per atom

No. 21
# PBE-GGA PuTh3Sb4, relaxed
data_PuTh3Sb4
_space_group_name_H-M_alt 'C m m m'
_space_group_IT_number 65
_space_group_name_Hall '-C 2 2'
_cell_length_a 8.992
_cell_length_b 12.712
_cell_length_c 4.494
_cell_angle_alpha 90.00
_cell_angle_beta 90.00
_cell_angle_gamma 90.00
loop_
_atom_site_label
_atom_site_type_symbol
_atom_site_fract_x
_atom_site_fract_y
_atom_site_fract_z
Pu1 Pu 0.000 0.000 0.000
Th1 Th 0.000 0.500 0.000
Th2 Th 0.250 0.250 0.500
Sb1 Sb 0.000 0.248 0.000
Sb2 Sb 0.247 0.000 0.500
# Energy ... -7.498 eV per atom

No. 22
# PBE-GGA Pu2Th3Sb3, relaxed
data_Pu2Th3Sb3
_space_group_name_H-M_alt 'P 63/m c m'
_space_group_IT_number 193
_space_group_name_Hall '-P 6c 2'
_cell_length_a 9.3280
_cell_length_b 9.3280
_cell_length_c 6.1776
_cell_angle_alpha 90.00
_cell_angle_beta 90.00
_cell_angle_gamma 120.00
loop_
_atom_site_label
_atom_site_type_symbol
_atom_site_fract_x
_atom_site_fract_y
_atom_site_fract_z
Pu1 Pu 0.3333 0.6667 0.0000
Th1 Th 0.0000 0.2516 0.2500
Sb1 Sb 0.0000 0.3908 0.7500
# Energy ... -8.563 eV per atom

No. 23
# PBE-GGA PuThSb2, relaxed
data_PuThSb2
_space_group_name_H-M_alt 'P 4/m m m'
_space_group_IT_number 123
_space_group_name_Hall '-P 4 2'
_cell_length_a 3.805
_cell_length_b 3.805
_cell_length_c 7.733
_cell_angle_alpha 90.00
_cell_angle_beta 90.00
_cell_angle_gamma 90.00
loop_
_atom_site_label
_atom_site_type_symbol
_atom_site_fract_x
_atom_site_fract_y
_atom_site_fract_z
Pu1 Pu 0.000 0.000 0.000
Th1 Th 0.000 0.000 0.500
Sb1 Sb 0.500 0.500 0.246
# E above lowest polymorph ... 131 meV per atom

No. 24
# PBE-GGA Pu3Th2Sb4, relaxed
data_Pu3Th2Sb4
_space_group_name_H-M_alt 'P -1'
_space_group_IT_number 2
_space_group_name_Hall '-P 1'
_cell_length_a 5.725
_cell_length_b 6.035
_cell_length_c 7.713
_cell_angle_alpha 81.58
_cell_angle_beta 77.47
_cell_angle_gamma 84.94
loop_
_atom_site_label
_atom_site_type_symbol
_atom_site_fract_x
_atom_site_fract_y
_atom_site_fract_z
Pu1 Pu 0.000 0.000 0.000
Pu2 Pu 0.355 0.848 0.226
Th1 Th 0.289 0.645 0.686
Sb1 Sb 0.196 0.175 0.573
Sb2 Sb 0.269 0.373 0.101
# Energy ... -8.786 eV per atom